[1]
The following is a PBE calculation of a relaxed structure of Cd2RuAu, from the Alexandria database.

Cell: 3.023 3.903 6.133 Å, 90.00 90.29 90.00°
Fractional coordinates of all 4 atoms:
Cd: 0.001 0.000 0.239
Cd: 0.999 0.000 0.761
Ru: 0.500 0.500 0.000
Au: 0.500 0.500 0.500

Output
V	72.35	Å³/f.u.
energy above the lowest structure with this stoichiometry	55	meV/atom
calculated formation energy	0.1648	eV/atom
electronic total energy	-13.72	eV per cell


[2]
The following is a PBE calculation of a relaxed structure of NaLaGa2Os, from the Alexandria database.

Cell: 5.381 5.381 5.417 Å, 90.00 90.00 90.00°
Fractional coordinates of all 5 atoms:
Na: 0.000 0.000 0.000
La: 0.000 0.000 0.500
Ga: 0.000 0.500 0.500
Ga: 0.500 0.000 0.500
Os: 0.500 0.500 0.000

Output
V	156.83	Å³/f.u.
calculated formation energy	2.1007	eV/atom
electronic total energy	-13.03	eV per cell


[3]
The following is a PBE calculation of a relaxed structure of KGa4Ag, from the Alexandria database.

Cell: 5.690 5.690 5.690 Å, 60.00 60.00 60.00°
Fractional coordinates of all 6 atoms:
K: 0.000 0.000 0.000
Ga: 0.376 0.376 0.376
Ga: 0.376 0.376 0.873
Ga: 0.376 0.873 0.376
Ga: 0.873 0.376 0.376
Ag: 0.750 0.750 0.750

Output
V	130.28	Å³/f.u.
calculated formation energy	0.0677	eV/atom
electronic total energy	-15.65	eV per cell


[4]
The following is a PBE calculation of a relaxed structure of Np2AgAs4, from the Alexandria database.

Cell: 3.914 3.914 9.988 Å, 90.00 90.00 90.00°
Fractional coordinates of all 7 atoms:
Np: 0.000 0.500 0.230
Np: 0.500 0.000 0.770
Ag: 0.000 0.000 0.500
As: 0.000 0.000 0.000
As: 0.000 0.500 0.685
As: 0.500 0.000 0.315
As: 0.500 0.500 0.000

Output
V	153.04	Å³/f.u.
calculated formation energy	-0.4287	eV/atom
electronic total energy	-50.33	eV per cell


[5]
The following is a PBE calculation of a relaxed structure of Ho2PdPt9, from the Alexandria database.

Cell: 4.056 4.056 12.245 Å, 90.00 90.00 90.00°
Fractional coordinates of all 12 atoms:
Ho: 0.000 0.000 0.170
Ho: 0.000 0.000 0.830
Pd: 0.000 0.000 0.500
Pt: 0.000 0.500 0.000
Pt: 0.000 0.500 0.340
Pt: 0.000 0.500 0.660
Pt: 0.500 0.000 0.000
Pt: 0.500 0.000 0.340
Pt: 0.500 0.000 0.660
Pt: 0.500 0.500 0.170
Pt: 0.500 0.500 0.500
Pt: 0.500 0.500 0.830

Output
V	201.40	Å³/f.u.
energy above the lowest structure with this stoichiometry	0	meV/atom
calculated formation energy	-0.6861	eV/atom
electronic total energy	-76.95	eV per cell


[6]
The following is a PBE calculation of a relaxed structure of AgGeAs2Br, from the Alexandria database.

Cell: 4.987 4.987 5.407 Å, 90.00 90.00 90.00°
Fractional coordinates of all 5 atoms:
Ag: 0.000 0.000 0.000
Ge: 0.500 0.500 0.500
As: 0.000 0.500 0.000
As: 0.500 0.000 0.000
Br: 0.000 0.000 0.500

Output
V	134.50	Å³/f.u.
energy above the lowest structure with this stoichiometry	145	meV/atom
electronic total energy	-14.41	eV per cell


[7]
The following is a PBE calculation of a relaxed structure of BeZnSn3, from the Alexandria database.

Cell: 5.194 5.194 5.194 Å, 90.00 90.00 90.00°
Fractional coordinates of all 5 atoms:
Be: 0.000 0.000 0.000
Zn: 0.500 0.500 0.500
Sn: 0.000 0.500 0.500
Sn: 0.500 0.000 0.500
Sn: 0.500 0.500 0.000

Output
V	140.13	Å³/f.u.
energy above the lowest structure with this stoichiometry	444	meV/atom
calculated formation energy	0.8602	eV/atom
electronic total energy	-12.71	eV per cell


[8]
The following is a PBE calculation of a relaxed structure of ZrHg2Sb, from the Alexandria database.

Cell: 3.200 3.200 9.352 Å, 90.00 90.00 90.00°
Fractional coordinates of all 4 atoms:
Zr: 0.000 0.000 0.000
Hg: 0.500 0.500 0.226
Hg: 0.500 0.500 0.774
Sb: 0.000 0.000 0.500

Output
V	95.77	Å³/f.u.
electronic total energy	-13.11	eV per cell


[9]
The following is a PBE calculation of a relaxed structure of LaNd2Dy2, from the Alexandria database.

Cell: 9.486 9.486 9.486 Å, 143.86 135.77 58.39°
Fractional coordinates of all 10 atoms:
La: 0.361 0.111 0.250
La: 0.639 0.889 0.750
Nd: 0.187 0.691 0.497
Nd: 0.306 0.309 0.997
Nd: 0.694 0.691 0.003
Nd: 0.813 0.309 0.503
Dy: 0.135 0.885 0.250
Dy: 0.250 0.500 0.750
Dy: 0.750 0.500 0.250
Dy: 0.865 0.115 0.750

Output
V	173.99	Å³/f.u.
energy above the lowest structure with this stoichiometry	28	meV/atom
calculated formation energy	0.1289	eV/atom
electronic total energy	-46.05	eV per cell


[10]
The following is a PBE calculation of a relaxed structure of PuZr2Bi3, from the Alexandria database.

Cell: 4.154 11.675 7.203 Å, 90.00 90.00 90.00°
Fractional coordinates of all 12 atoms:
Pu: 0.000 0.119 0.000
Pu: 0.000 0.881 0.500
Zr: 0.000 0.211 0.477
Zr: 0.000 0.789 0.977
Zr: 0.500 0.481 0.491
Zr: 0.500 0.519 0.991
Bi: 0.000 0.385 0.770
Bi: 0.000 0.615 0.270
Bi: 0.500 0.068 0.669
Bi: 0.500 0.294 0.205
Bi: 0.500 0.706 0.705
Bi: 0.500 0.932 0.169

Output
V	174.67	Å³/f.u.
calculated formation energy	-0.2377	eV/atom
electronic total energy	-88.99	eV per cell


[11]
The following is a PBE calculation of a relaxed structure of ZrFe2Tc, from the Alexandria database.

Cell: 3.104 4.374 8.721 Å, 90.00 90.00 90.00°
Fractional coordinates of all 8 atoms:
Zr: 0.000 0.000 0.000
Zr: 0.500 0.500 0.500
Fe: 0.000 0.000 0.496
Fe: 0.000 0.500 0.764
Fe: 0.500 0.000 0.264
Fe: 0.500 0.500 0.996
Tc: 0.000 0.500 0.235
Tc: 0.500 0.000 0.735

Output
V	59.21	Å³/f.u.
energy above the lowest structure with this stoichiometry	31	meV/atom
calculated formation energy	0.0391	eV/atom
electronic total energy	-71.37	eV per cell


[12]
The following is a PBE calculation of a relaxed structure of Ho4ThS6, from the Alexandria database.

Cell: 6.692 6.692 19.583 Å, 90.00 90.00 146.48°
Fractional coordinates of all 22 atoms:
Ho: 0.089 0.911 0.625
Ho: 0.089 0.911 0.875
Ho: 0.362 0.638 0.539
Ho: 0.362 0.638 0.961
Ho: 0.638 0.362 0.039
Ho: 0.638 0.362 0.461
Ho: 0.911 0.089 0.125
Ho: 0.911 0.089 0.375
Th: 0.155 0.845 0.250
Th: 0.845 0.155 0.750
S: 0.000 0.000 0.000
S: 0.000 0.000 0.500
S: 0.185 0.815 0.750
S: 0.267 0.733 0.091
S: 0.267 0.733 0.409
S: 0.452 0.548 0.667
S: 0.452 0.548 0.833
S: 0.548 0.452 0.167
S: 0.548 0.452 0.333
S: 0.733 0.267 0.591
S: 0.733 0.267 0.909
S: 0.815 0.185 0.250

Output
V	242.15	Å³/f.u.
electronic total energy	-144.70	eV per cell